1.
Below is Pm3S4 after structural relaxation, with properties calculated at the PBE level.

Output
Space group   I-43d (220)
Uncorrected formation energy   -2.023 eV/atom
Density of states at the Fermi level   9.2 states/eV per cell
Total moment   0.000 Bohr magnetons per cell
Polymorph energy (0 for the lowest one)   0.000 eV per atom

a = 7.380 Å, b = 7.380 Å, c = 7.380 Å
α = 109.47°, β = 109.47°, γ = 109.47°
Element x y z (fractional)
1 Pm 0.125 0.875 0.250
2 Pm 0.250 0.125 0.875
3 Pm 0.375 0.625 0.750
4 Pm 0.625 0.750 0.375
5 Pm 0.750 0.375 0.625
6 Pm 0.875 0.250 0.125
7 S 0.000 0.148 0.500
8 S 0.000 0.648 0.500
9 S 0.148 0.500 0.000
10 S 0.352 0.352 0.352
11 S 0.500 0.000 0.148
12 S 0.500 0.000 0.648
13 S 0.648 0.500 0.000
14 S 0.852 0.852 0.852

***

2.
Below is PmS4 after structural relaxation, with properties calculated at the PBE level.

Output
Space group   I4/m (87)
Uncorrected formation energy   -0.421 eV/atom
Density of states at the Fermi level   7.6 states/eV per cell
Total moment   0.000 Bohr magnetons per cell
Polymorph energy (0 for the lowest one)   0.000 eV per atom

a = 6.613 Å, b = 6.613 Å, c = 4.856 Å
α = 90.00°, β = 90.00°, γ = 90.00°
Element x y z (fractional)
1 Pm 0.000 0.000 0.000
2 Pm 0.500 0.500 0.500
3 S 0.004 0.250 0.500
4 S 0.250 0.504 0.000
5 S 0.250 0.996 0.500
6 S 0.496 0.250 0.000
7 S 0.504 0.750 0.000
8 S 0.750 0.004 0.500
9 S 0.750 0.496 0.000
10 S 0.996 0.750 0.500

***

3.
Below is PmS4 after structural relaxation, with properties calculated at the PBE level.

Output
Space group   Pm-3m (221)
Uncorrected formation energy   0.260 eV/atom
Density of states at the Fermi level   3.6 states/eV per cell
Total moment   5.014 Bohr magnetons per cell
Polymorph energy (0 for the lowest one)   0.681 eV per atom

a = 5.498 Å, b = 5.498 Å, c = 5.498 Å
α = 90.00°, β = 90.00°, γ = 90.00°
Element x y z (fractional)
1 Pm 0.000 0.000 0.000
2 S 0.000 0.000 0.500
3 S 0.000 0.500 0.000
4 S 0.500 0.000 0.000
5 S 0.500 0.500 0.500

***

4.
Below is Pm5S4 after structural relaxation, with properties calculated at the PBE level.

Output
Space group   I4/m (87)
Uncorrected formation energy   -1.579 eV/atom
Density of states at the Fermi level   7.0 states/eV per cell
Total moment   0.000 Bohr magnetons per cell

a = 8.175 Å, b = 8.175 Å, c = 8.175 Å
α = 93.21°, β = 93.21°, γ = 152.63°
Element x y z (fractional)
1 Pm 0.000 0.000 0.000
2 Pm 0.246 0.579 0.825
3 Pm 0.421 0.246 0.667
4 Pm 0.579 0.754 0.333
5 Pm 0.754 0.421 0.175
6 S 0.112 0.783 0.894
7 S 0.217 0.112 0.329
8 S 0.783 0.888 0.671
9 S 0.888 0.217 0.106

***

5.
Below is Pm3S5 after structural relaxation, with properties calculated at the PBE level.

Output
Space group   P6_3/mcm (193)
Uncorrected formation energy   -1.874 eV/atom
Density of states at the Fermi level   2.7 states/eV per cell
Total moment   0.000 Bohr magnetons per cell

a = 8.547 Å, b = 8.547 Å, c = 5.658 Å
α = 90.00°, β = 90.00°, γ = 120.00°
Element x y z (fractional)
1 Pm 0.000 0.363 0.250
2 Pm 0.000 0.637 0.750
3 Pm 0.363 0.000 0.250
4 Pm 0.363 0.363 0.750
5 Pm 0.637 0.000 0.750
6 Pm 0.637 0.637 0.250
7 S 0.000 0.282 0.750
8 S 0.000 0.718 0.250
9 S 0.282 0.000 0.750
10 S 0.282 0.282 0.250
11 S 0.333 0.667 0.000
12 S 0.333 0.667 0.500
13 S 0.667 0.333 0.000
14 S 0.667 0.333 0.500
15 S 0.718 0.000 0.250
16 S 0.718 0.718 0.750

***

6.
Below is PmS3 after structural relaxation, with properties calculated at the PBE level.

Output
Space group   P2_1/m (11)
Uncorrected formation energy   -1.158 eV/atom
Density of states at the Fermi level   1.6 states/eV per cell
Total moment   0.000 Bohr magnetons per cell

a = 5.276 Å, b = 5.085 Å, c = 7.486 Å
α = 90.00°, β = 110.57°, γ = 90.00°
Element x y z (fractional)
1 Pm 0.163 0.250 0.325
2 Pm 0.837 0.750 0.675
3 S 0.149 0.250 0.921
4 S 0.228 0.750 0.078
5 S 0.271 0.750 0.543
6 S 0.729 0.250 0.457
7 S 0.772 0.250 0.922
8 S 0.851 0.750 0.079